# Nb2Sn3W4C3, optimized geometry, DFT PBE-GGA
# - crystal system = monoclinic
# - volume (A^3/atom) = 15.4
# - final energy (eV per atom) = -9.277
# - total moment (μB per cell) = 0.0
data_Nb2Sn3W4C3
_chemical_formula_sum 'Nb8 Sn12 W16 C12'
_space_group_name_H-M_alt 'C 1 2/c 1'
_space_group_IT_number 15
_space_group_name_Hall '-C 2yc'
_cell_length_a 9.695
_cell_length_b 5.596
_cell_length_c 13.946
_cell_angle_alpha 90.00
_cell_angle_beta 103.04
_cell_angle_gamma 90.00
loop_
_atom_site_label
_atom_site_type_symbol
_atom_site_fract_x
_atom_site_fract_y
_atom_site_fract_z
Nb1 Nb 0.053 0.082 0.412
Sn1 Sn 0.000 0.434 0.250
Sn2 Sn 0.175 0.091 0.750
W1 W 0.108 0.411 0.579
W2 W 0.228 0.419 0.922
C1 C 0.085 0.254 0.000
C2 C 0.250 0.250 0.500

---

# Y4Nb2Sn3C3, optimized geometry, DFT PBE-GGA
# - crystal system = monoclinic
# - volume (A^3/atom) = 19.7
# - final energy (eV per atom) = -7.705
# - total moment (μB per cell) = 0.0
data_Y4Nb2Sn3C3
_chemical_formula_sum 'Y16 Nb8 Sn12 C12'
_space_group_name_H-M_alt 'C 1 2/c 1'
_space_group_IT_number 15
_space_group_name_Hall '-C 2yc'
_cell_length_a 10.461
_cell_length_b 6.096
_cell_length_c 15.289
_cell_angle_alpha 90.00
_cell_angle_beta 103.63
_cell_angle_gamma 90.00
loop_
_atom_site_label
_atom_site_type_symbol
_atom_site_fract_x
_atom_site_fract_y
_atom_site_fract_z
Y1 Y 0.115 0.074 0.092
Y2 Y 0.214 0.088 0.408
Nb1 Nb 0.062 0.413 0.927
Sn1 Sn 0.000 0.134 0.750
Sn2 Sn 0.145 0.437 0.247
C1 C 0.075 0.276 0.500
C2 C 0.250 0.250 0.000

---

# Y2Nb4Sn3C3, optimized geometry, DFT PBE-GGA
# - crystal system = monoclinic
# - volume (A^3/atom) = 17.8
# - final energy (eV per atom) = -8.246
# - total moment (μB per cell) = 0.0
data_Y2Nb4Sn3C3
_chemical_formula_sum 'Y8 Nb16 Sn12 C12'
_space_group_name_H-M_alt 'C 1 2/c 1'
_space_group_IT_number 15
_space_group_name_Hall '-C 2yc'
_cell_length_a 10.147
_cell_length_b 5.843
_cell_length_c 14.810
_cell_angle_alpha 90.00
_cell_angle_beta 103.86
_cell_angle_gamma 90.00
loop_
_atom_site_label
_atom_site_type_symbol
_atom_site_fract_x
_atom_site_fract_y
_atom_site_fract_z
Y1 Y 0.042 0.079 0.398
Nb1 Nb 0.110 0.407 0.575
Nb2 Nb 0.228 0.423 0.925
Sn1 Sn 0.000 0.481 0.250
Sn2 Sn 0.200 0.114 0.754
C1 C 0.088 0.263 0.000
C2 C 0.250 0.250 0.500

---

# Zr2Nb4Sn3C3, optimized geometry, DFT PBE-GGA
# - crystal system = monoclinic
# - volume (A^3/atom) = 16.7
# - final energy (eV per atom) = -8.637
# - total moment (μB per cell) = 0.0
data_Zr2Nb4Sn3C3
_chemical_formula_sum 'Zr8 Nb16 Sn12 C12'
_space_group_name_H-M_alt 'C 1 2/c 1'
_space_group_IT_number 15
_space_group_name_Hall '-C 2yc'
_cell_length_a 9.876
_cell_length_b 5.705
_cell_length_c 14.613
_cell_angle_alpha 90.00
_cell_angle_beta 103.12
_cell_angle_gamma 90.00
loop_
_atom_site_label
_atom_site_type_symbol
_atom_site_fract_x
_atom_site_fract_y
_atom_site_fract_z
Zr1 Zr 0.052 0.082 0.409
Nb1 Nb 0.111 0.413 0.581
Nb2 Nb 0.224 0.419 0.919
Sn1 Sn 0.000 0.438 0.250
Sn2 Sn 0.177 0.093 0.751
C1 C 0.085 0.254 0.000
C2 C 0.250 0.250 0.500

---

# Zr3NbSn2C2, optimized geometry, DFT PBE-GGA
# - crystal system = trigonal
# - volume (A^3/atom) = 17.6
# - final energy (eV per atom) = -8.457
# - total moment (μB per cell) = 0.0
data_Zr3NbSn2C2
_chemical_formula_sum 'Zr3 Nb1 Sn2 C2'
_space_group_name_H-M_alt 'P 3 m 1'
_space_group_IT_number 156
_space_group_name_Hall 'P 3 -2"'
_cell_length_a 3.3380
_cell_length_b 3.3380
_cell_length_c 14.6069
_cell_angle_alpha 90.00
_cell_angle_beta 90.00
_cell_angle_gamma 120.00
loop_
_atom_site_label
_atom_site_type_symbol
_atom_site_fract_x
_atom_site_fract_y
_atom_site_fract_z
Zr1 Zr 0.0000 0.0000 0.0000
Zr2 Zr 0.0000 0.0000 0.3342
Zr3 Zr 0.3333 0.6667 0.5085
Nb1 Nb 0.3333 0.6667 0.8335
Sn1 Sn 0.0000 0.0000 0.6762
Sn2 Sn 0.3333 0.6667 0.1671
C1 C 0.6667 0.3333 0.4211
C2 C 0.6667 0.3333 0.9129

---

# ZrNb3Sn2C2, optimized geometry, DFT PBE-GGA
# - crystal system = trigonal
# - volume (A^3/atom) = 16.6
# - final energy (eV per atom) = -8.665
# - total moment (μB per cell) = 0.1
data_ZrNb3Sn2C2
_chemical_formula_sum 'Zr1 Nb3 Sn2 C2'
_space_group_name_H-M_alt 'P 3 m 1'
_space_group_IT_number 156
_space_group_name_Hall 'P 3 -2"'
_cell_length_a 3.2838
_cell_length_b 3.2838
_cell_length_c 14.1826
_cell_angle_alpha 90.00
_cell_angle_beta 90.00
_cell_angle_gamma 120.00
loop_
_atom_site_label
_atom_site_type_symbol
_atom_site_fract_x
_atom_site_fract_y
_atom_site_fract_z
Zr1 Zr 0.0000 0.0000 0.0000
Nb1 Nb 0.0000 0.0000 0.3365
Nb2 Nb 0.3333 0.6667 0.4984
Nb3 Nb 0.3333 0.6667 0.8260
Sn1 Sn 0.0000 0.0000 0.6619
Sn2 Sn 0.3333 0.6667 0.1734
C1 C 0.6667 0.3333 0.4175
C2 C 0.6667 0.3333 0.9085